Crystalline LiCePb2 at its relaxed geometry. Source: the Alexandria database, functional PBE.

The formation energy is -303 meV/atom. Its magnetization is 0.2302 μB per atom.

It has space group P4/mmm (No. 123), with a = 3.6306 Å, b = 3.6306 Å, c = 7.8749 Å, α = 90.00°, β = 90.00° and γ = 90.00°. Symmetry generates all atoms from Li at (0.0000, 0.0000, 0.0000), Ce at (0.0000, 0.0000, 0.5000) and Pb at (0.5000, 0.5000, 0.2167).

***

Crystalline Li4Ce9Pb11 at its relaxed geometry. Source: the Alexandria database, functional PBE.

The formation energy is -332 meV/atom. Its magnetization is 0.4606 μB per atom.

It has space group Cmmm (No. 65), with a = 16.9192 Å, b = 22.6926 Å, c = 3.4096 Å, α = 90.00°, β = 90.00° and γ = 90.00°. Symmetry generates all atoms from Li at (0.1426, 0.1007, 0.0000), Ce at (0.0000, 0.0000, 0.0000), Ce at (0.1072, 0.2488, 0.0000), Ce at (0.1460, 0.4217, 0.0000), Pb at (0.0000, 0.1377, 0.5000), Pb at (0.0000, 0.3494, 0.5000), Pb at (0.0000, 0.5000, 0.5000), Pb at (0.2004, 0.0000, 0.5000) and Pb at (0.2452, 0.1753, 0.5000).

***

Crystalline Li6CePb6 at its relaxed geometry. Source: the Alexandria database, functional PBE.

The formation energy is -285 meV/atom. Its magnetization is 0.0665 μB per atom.

It has space group Immm (No. 71), with a = 5.9602 Å, b = 9.6812 Å, c = 10.3267 Å, α = 90.00°, β = 90.00° and γ = 90.00°. Symmetry generates all atoms from Li at (0.0000, 0.2486, 0.0000), Li at (0.2500, 0.2500, 0.2500), Ce at (0.0000, 0.5000, 0.5000), Pb at (0.0000, 0.0000, 0.1639), Pb at (0.0000, 0.1584, 0.5000) and Pb at (0.0000, 0.5000, 0.1645).

***

Crystalline LiCe2Pb3 at its relaxed geometry. Source: the Alexandria database, functional PBE.

The formation energy is -343 meV/atom. Its magnetization is 0.3542 μB per atom. For the energy above the most stable polymorph in this dataset, the calculation gives 0 meV/atom.

It has space group Cmmm (No. 65), with a = 4.9224 Å, b = 14.9827 Å, c = 9.0577 Å, α = 90.00°, β = 90.00° and γ = 90.00°. Symmetry generates all atoms from Li at (0.0000, 0.1767, 0.0000), Ce at (0.0000, 0.1715, 0.5000), Ce at (0.0000, 0.5000, 0.0000), Ce at (0.0000, 0.5000, 0.5000), Pb at (0.0000, 0.0000, 0.2416) and Pb at (0.0000, 0.3308, 0.2349).

***

Crystalline Li3CePb4 at its relaxed geometry. Source: the Alexandria database, functional PBE.

The formation energy is -299 meV/atom. Its magnetization is 0.1185 μB per atom.

It has space group Pmma (No. 51), with a = 10.4080 Å, b = 7.3652 Å, c = 5.2032 Å, α = 90.00°, β = 90.00° and γ = 90.00°. Symmetry generates all atoms from Li at (0.0000, 0.0000, 0.0000), Li at (0.2500, 0.0000, 0.4975), Li at (0.2500, 0.5000, 0.4991), Ce at (0.0000, 0.5000, 0.0000), Pb at (0.0000, 0.2240, 0.5000) and Pb at (0.2500, 0.2241, 0.9982).

***

Crystalline Li2CePb3 at its relaxed geometry. Source: the Alexandria database, functional PBE.

The formation energy is -301 meV/atom. Its magnetization is 0.1416 μB per atom. For the energy above the most stable polymorph in this dataset, the calculation gives 2 meV/atom.

It has space group Cmmm (No. 65), with a = 4.7999 Å, b = 14.5436 Å, c = 4.4624 Å, α = 90.00°, β = 90.00° and γ = 90.00°. Symmetry generates all atoms from Li at (0.0000, 0.1863, 0.0000), Ce at (0.0000, 0.5000, 0.0000), Pb at (0.0000, 0.0000, 0.5000) and Pb at (0.0000, 0.3281, 0.5000).

***

Crystalline LiCe5Pb5 at its relaxed geometry. Source: the Alexandria database, functional PBE.

The formation energy is -96 meV/atom. Its magnetization is 0.3832 μB per atom.

It has space group C2/m (No. 12), with a = 15.7689 Å, b = 6.4010 Å, c = 7.0847 Å, α = 90.00°, β = 104.23° and γ = 90.00°. Symmetry generates all atoms from Li at (0.0000, 0.0000, 0.0000), Ce at (0.0000, 0.0000, 0.5000), Ce at (0.1468, 0.5000, 0.7581), Ce at (0.1645, 0.5000, 0.3610), Pb at (0.0000, 0.5000, 0.0000), Pb at (0.1581, 0.0000, 0.3041) and Pb at (0.1757, 0.0000, 0.8631).

***

Crystalline LiCe2Pb3 at its relaxed geometry. Source: the Alexandria database, functional PBE.

The formation energy is -263 meV/atom. Its magnetization is 0.3196 μB per atom. For the energy above the most stable polymorph in this dataset, the calculation gives 79 meV/atom.

It has space group C2/c (No. 15), with a = 17.1707 Å, b = 6.5429 Å, c = 6.1339 Å, α = 90.00°, β = 101.93° and γ = 90.00°. Symmetry generates all atoms from Li at (0.0000, 0.0766, 0.2500), Ce at (0.1725, 0.3894, 0.5940), Pb at (0.0000, 0.4188, 0.7500) and Pb at (0.1511, 0.1101, 0.0717).

***

Crystalline LiCe2Pb4 at its relaxed geometry. Source: the Alexandria database, functional PBE.

The formation energy is -149 meV/atom. Its magnetization is 0.2722 μB per atom. For the energy above the most stable polymorph in this dataset, the calculation gives 44 meV/atom.

It has space group I4/mmm (No. 139), with a = 5.7519 Å, b = 5.7519 Å, c = 13.3127 Å, α = 90.00°, β = 90.00° and γ = 90.00°. Symmetry generates all atoms from Li at (0.0000, 0.0000, 0.0000), Ce at (0.0000, 0.0000, 0.3636), Pb at (0.0000, 0.5000, 0.0000) and Pb at (0.0000, 0.5000, 0.2500).

***

Crystalline Li4CePb2 at its relaxed geometry. Source: the Alexandria database, functional PBE.

The formation energy is -353 meV/atom. Its magnetization is 0.0514 μB per atom.

It has space group R-3m (No. 166, hexagonal axes), with a = 4.7966 Å, b = 4.7966 Å, c = 24.0501 Å, α = 90.00°, β = 90.00° and γ = 120.00°. Symmetry generates all atoms from Li at (0.0000, 0.0000, 0.0719), Li at (0.0000, 0.0000, 0.3618), Ce at (0.0000, 0.0000, 0.5000) and Pb at (0.0000, 0.0000, 0.2403).

***

Crystalline Li2CePb4 at its relaxed geometry. Source: the Alexandria database, functional PBE.

The formation energy is -263 meV/atom. Its magnetization is 0.1145 μB per atom.

It has space group P4/mmm (No. 123), with a = 5.0686 Å, b = 5.0686 Å, c = 7.3497 Å, α = 90.00°, β = 90.00° and γ = 90.00°. Symmetry generates all atoms from Li at (0.0000, 0.0000, 0.0000), Li at (0.5000, 0.5000, 0.5000), Ce at (0.0000, 0.0000, 0.5000) and Pb at (0.0000, 0.5000, 0.2162).

***

Crystalline LiCePb2 at its relaxed geometry. Source: the Alexandria database, functional PBE.

The formation energy is -323 meV/atom. Its magnetization is 0.2003 μB per atom.

It has space group P4/mmm (No. 123), with a = 5.4927 Å, b = 5.4927 Å, c = 3.6770 Å, α = 90.00°, β = 90.00° and γ = 90.00°. Symmetry generates all atoms from Li at (0.0000, 0.0000, 0.0000), Ce at (0.5000, 0.5000, 0.0000) and Pb at (0.0000, 0.5000, 0.5000).

***

Crystalline LiCe2Pb4 at its relaxed geometry. Source: the Alexandria database, functional PBE.

The formation energy is -192 meV/atom. Its magnetization is 0.1897 μB per atom. For the energy above the most stable polymorph in this dataset, the calculation gives 0 meV/atom.

It has space group C2/m (No. 12), with a = 10.8761 Å, b = 4.7178 Å, c = 9.2778 Å, α = 90.00°, β = 119.72° and γ = 90.00°. Symmetry generates all atoms from Li at (0.0000, 0.0000, 0.0000), Ce at (0.1421, 0.5000, 0.6185), Pb at (0.0456, 0.0000, 0.3310) and Pb at (0.2010, 0.5000, 0.0790).

***

Crystalline Li2Ce3Pb6 at its relaxed geometry. Source: the Alexandria database, functional PBE.

The formation energy is -246 meV/atom. Its magnetization is 0.2571 μB per atom.

It has space group I4/mmm (No. 139), with a = 4.9089 Å, b = 4.9089 Å, c = 25.5802 Å, α = 90.00°, β = 90.00° and γ = 90.00°. Symmetry generates all atoms from Li at (0.0000, 0.0000, 0.0461), Ce at (0.0000, 0.0000, 0.3151), Ce at (0.0000, 0.0000, 0.5000), Pb at (0.0000, 0.0000, 0.1906) and Pb at (0.0000, 0.5000, 0.0948).

***

Crystalline Li3CePb3 at its relaxed geometry. Source: the Alexandria database, functional PBE.

The formation energy is 166 meV/atom. Its magnetization is 0.2274 μB per atom. For the energy above the most stable polymorph in this dataset, the calculation gives 279 meV/atom.

It has space group Pm-3n (No. 223), with a = 7.2969 Å, b = 7.2969 Å, c = 7.2969 Å, α = 90.00°, β = 90.00° and γ = 90.00°. Symmetry generates all atoms from Li at (0.0000, 0.2500, 0.5000), Ce at (0.0000, 0.0000, 0.0000) and Pb at (0.0000, 0.5000, 0.2500).

***

Crystalline LiCePb3 at its relaxed geometry. Source: the Alexandria database, functional PBE.

The formation energy is -213 meV/atom. Its magnetization is 0.2238 μB per atom.

It has space group P6_3/mmc (No. 194), with a = 7.0532 Å, b = 7.0532 Å, c = 6.3768 Å, α = 90.00°, β = 90.00° and γ = 120.00°. Symmetry generates all atoms from Li at (0.0000, 0.0000, 0.0000), Ce at (0.3333, 0.6667, 0.2500) and Pb at (0.1867, 0.3734, 0.7500).

***

Crystalline Li2CePb3 at its relaxed geometry. Source: the Alexandria database, functional PBE.

The formation energy is -304 meV/atom. Its magnetization is 0.1518 μB per atom. For the energy above the most stable polymorph in this dataset, the calculation gives 0 meV/atom.

It has space group P4/mmm (No. 123), with a = 3.5703 Å, b = 3.5703 Å, c = 11.7195 Å, α = 90.00°, β = 90.00° and γ = 90.00°. Symmetry generates all atoms from Li at (0.0000, 0.0000, 0.1541), Ce at (0.0000, 0.0000, 0.5000), Pb at (0.5000, 0.5000, 0.0000) and Pb at (0.5000, 0.5000, 0.3029).

***

Crystalline Li2Ce2PmPb2 at its relaxed geometry. Source: the Alexandria database, functional PBE.

The formation energy is -308 meV/atom. Its magnetization is 0.3346 μB per atom.

It has space group R-3m (No. 166, hexagonal axes), with a = 4.6809 Å, b = 4.6809 Å, c = 28.0601 Å, α = 90.00°, β = 90.00° and γ = 120.00°. Symmetry generates all atoms from Li at (0.0000, 0.0000, 0.0856), Ce at (0.0000, 0.0000, 0.3553), Pm at (0.0000, 0.0000, 0.5000) and Pb at (0.0000, 0.0000, 0.2346).

***

Crystalline LiCePmPb at its relaxed geometry. Source: the Alexandria database, functional PBE.

The formation energy is -202 meV/atom. Its magnetization is 0.3863 μB per atom.

It has space group F-43m (No. 216), with a = 7.6964 Å, b = 7.6964 Å, c = 7.6964 Å, α = 90.00°, β = 90.00° and γ = 90.00°. Symmetry generates all atoms from Li at (0.0000, 0.0000, 0.0000), Ce at (0.2500, 0.2500, 0.7500), Pm at (0.2500, 0.2500, 0.2500) and Pb at (0.0000, 0.0000, 0.5000).

***

Crystalline Li2CePm2Pb2 at its relaxed geometry. Source: the Alexandria database, functional PBE.

The formation energy is -295 meV/atom. Its magnetization is 0.2009 μB per atom.

It has space group R-3m (No. 166, hexagonal axes), with a = 4.9353 Å, b = 4.9353 Å, c = 27.4211 Å, α = 90.00°, β = 90.00° and γ = 120.00°. Symmetry generates all atoms from Li at (0.0000, 0.0000, 0.0940), Ce at (0.0000, 0.0000, 0.5000), Pm at (0.0000, 0.0000, 0.3710) and Pb at (0.0000, 0.0000, 0.2358).